Entry from Alexandria via LeMat-Bulk: a relaxed structure of LiCrBr2 (PBE-GGA).

Summary:
N(E_F) in states/eV/atom: 1.04
Energy relative to the elements, uncorrected in meV per atom: 15
Energy above the most stable polymorph in this dataset in meV per atom: 695
Calculated volume in A^3/atom: 23.53

Cell: 5.106 5.106 5.106 Å, 60.00 60.00 60.00°
Site moments in Bohr magnetons follow the coordinates.
Element x y z (fractional)
Li: 0.750 0.750 0.750  0.03
Br: 0.000 0.000 0.000  0.02
Cr: 0.500 0.500 0.500  4.28
Br: 0.250 0.250 0.250  -0.06


Entry from Alexandria via LeMat-Bulk: a relaxed structure of LiCr4Br (PBE-GGA).

Summary:
N(E_F) in states/eV/atom: 0.94
Energy relative to the elements, uncorrected in meV per atom: 857
Calculated volume in A^3/atom: 13.96

Cell: 4.911 4.911 4.911 Å, 60.00 60.00 60.00°
Element x y z (fractional)
Cr: 0.621 0.621 0.138
Br: 0.000 0.000 0.000
Li: 0.250 0.250 0.250
Cr: 0.138 0.621 0.621
Cr: 0.621 0.138 0.621
Cr: 0.621 0.621 0.621


Number 1: energy -3.706 eV per atom. Number 2: energy -6.157 eV per atom.